<w>
Material: Li3Re
Method: DFT, PBE-GGA
State: relaxed

Structure (POSCAR):
```
Li3Re
1.0
2.699 0.000 0.000
-1.349 2.337 0.000
0.000 0.000 9.889
Li Re
3 1
Cartesian
0.000 0.000 0.000
0.000 1.558 2.635
0.000 1.558 7.255
0.000 0.000 4.945
```

Properties
Magnetic moment: 0.00 μB per cell
SG: P-6m2 (187)


<x>
Material: Li3Re
Method: DFT, PBE-GGA
State: relaxed

Structure (POSCAR):
```
Li3Re
1.0
3.778 0.000 0.000
0.000 3.778 0.000
0.000 0.000 3.778
Li Re
3 1
Cartesian
0.000 0.000 1.889
0.000 1.889 0.000
1.889 0.000 0.000
1.889 1.889 1.889
```

Properties
Magnetic moment: 0.00 μB per cell
SG: Pm-3m (221)


<y>
Material: Li3Re
Method: DFT, PBE-GGA
State: relaxed

Structure (POSCAR):
```
Li3Re
1.0
-1.831 1.831 4.285
1.831 -1.831 4.285
1.831 1.831 -4.285
Li Re
3 1
Cartesian
0.000 0.000 0.000
1.831 0.000 2.143
0.000 1.831 2.143
0.000 0.000 4.285
```

Properties
Magnetic moment: 1.91 μB per cell
SG: I4/mmm (139)


<z>
Material: Li3Re
Method: DFT, PBE-GGA
State: relaxed

Structure (POSCAR):
```
Li3Re
1.0
1.364 0.787 9.879
-1.364 0.787 9.879
0.000 -1.575 9.879
Li Re
3 1
Cartesian
0.000 0.000 0.000
0.000 0.000 7.206
0.000 0.000 22.431
0.000 0.000 14.818
```

Properties
Magnetic moment: 0.19 μB per cell
SG: R-3m (166)


Most stable pick: <w>. Distance to second place: 60 meV/atom.


<w>
Material: Li3Re
Method: DFT, PBE-GGA
State: relaxed

Structure (POSCAR):
```
Li3Re
1.0
-2.379 2.379 5.359
2.379 -2.379 5.359
2.379 2.379 -5.359
Li Re
6 2
Cartesian
2.379 0.000 0.000
0.000 0.000 1.396
2.379 0.000 2.680
0.000 2.379 0.000
0.000 2.379 2.680
0.000 0.000 9.322
0.000 0.000 4.226
0.000 0.000 6.492
```

Properties
Magnetic moment: 0.00 μB per cell
SG: I4/mmm (139)


<x>
Material: Li3Re
Method: DFT, PBE-GGA
State: relaxed

Structure (POSCAR):
```
Li3Re
1.0
1.527 -2.106 0.000
1.527 2.106 0.000
0.000 0.000 9.710
Li Re
3 1
Cartesian
0.000 0.000 0.000
1.527 0.000 2.604
1.527 0.000 7.106
0.000 0.000 4.855
```

Properties
Magnetic moment: 0.00 μB per cell
SG: Cmmm (65)


Most stable pick: <x>. Distance to second place: 328 meV/atom.


<w>
Material: Li3Re
Method: DFT, PBE-GGA
State: relaxed

Structure (POSCAR):
```
Li3Re
1.0
-1.241 2.405 4.786
1.241 -2.405 4.786
1.241 2.405 -4.786
Li Re
3 1
Cartesian
0.000 0.000 0.000
1.241 0.000 2.305
0.000 2.405 2.480
0.000 0.000 4.786
```

Properties
Magnetic moment: 0.00 μB per cell
SG: Immm (71)


<x>
Material: Li3Re
Method: DFT, PBE-GGA
State: relaxed

Structure (POSCAR):
```
Li3Re
1.0
0.000 3.096 3.096
3.096 0.000 3.096
3.096 3.096 0.000
Li Re
3 1
Cartesian
0.000 0.000 0.000
1.548 1.548 1.548
4.644 4.644 4.644
3.096 3.096 3.096
```

Properties
Magnetic moment: 2.32 μB per cell
SG: Fm-3m (225)


<y>
Material: Li3Re
Method: DFT, PBE-GGA
State: relaxed

Structure (POSCAR):
```
Li3Re
1.0
4.759 -1.242 0.000
4.759 1.242 0.000
-0.591 0.000 5.069
Li Re
3 1
Cartesian
0.000 0.000 0.000
1.927 0.000 3.689
7.001 0.000 1.380
4.464 0.000 2.534
```

Properties
Magnetic moment: 0.00 μB per cell
SG: C2/m (12)


<z>
Material: Li3Re
Method: DFT, PBE-GGA
State: relaxed

Structure (POSCAR):
```
Li3Re
1.0
5.398 0.000 0.000
-2.699 4.675 0.000
0.000 0.000 4.508
Li Re
6 2
Cartesian
0.000 1.594 1.127
-1.319 3.878 1.127
1.380 0.797 3.381
1.319 3.878 1.127
4.018 0.797 3.381
2.699 3.081 3.381
0.000 3.116 3.381
2.699 1.558 1.127
```

Properties
Magnetic moment: 3.66 μB per cell
SG: P6_3/mmc (194)


Most stable pick: <y>. Distance to second place: 28 meV/atom.